{
  "formula": "RbLi2H6N3",
  "functional": "GGA-PBEsol",
  "state": "relaxed",
  "final_energy_ev_per_atom": -4.694,
  "total_magnetization_mub_per_cell": 0.0,
  "cell": [[4.252, -5.423, 0.000], [4.252, 5.423, 0.000], [0.000, 0.000, 5.235]],
  "species": ["Rb", "Rb", "Li", "Li", "Li", "Li", "H", "H", "H", "H", "H", "H", "H", "H", "H", "H", "H", "H", "N", "N", "N", "N", "N", "N"],
  "frac_coords": [[0.222, 0.778, 0.750], [0.778, 0.222, 0.250], [0.354, 0.354, 0.000], [0.354, 0.354, 0.500], [0.646, 0.646, 0.000], [0.646, 0.646, 0.500], [0.006, 0.398, 0.750], [0.048, 0.179, 0.750], [0.179, 0.048, 0.250], [0.247, 0.565, 0.250], [0.398, 0.006, 0.250], [0.435, 0.753, 0.250], [0.565, 0.247, 0.750], [0.602, 0.994, 0.750], [0.753, 0.435, 0.750], [0.821, 0.952, 0.750], [0.952, 0.821, 0.250], [0.994, 0.602, 0.250], [0.122, 0.328, 0.750], [0.328, 0.122, 0.250], [0.401, 0.599, 0.250], [0.599, 0.401, 0.750], [0.672, 0.878, 0.750], [0.878, 0.672, 0.250]]
}